Record 1
# CrTeRu2

A relaxed CrTeRu2 crystal (PBE-GGA, Alexandria via LeMat-Bulk).

The structure in extended XYZ format:
```
4
Lattice="-2.0501 2.0501 3.6196 2.0501 -2.0501 3.6196 2.0501 2.0501 -3.6196" Properties=species:S:1:pos:R:3 pbc="T T T"
Cr 0.0000 0.0000 0.0000
Te 0.0000 0.0000 3.6196
Ru 2.0501 0.0000 1.8098
Ru 0.0000 2.0501 1.8098
```

## Properties
formation energy from raw total energies = 0.719 eV per formula unit

---

Record 2
# LaY2ThS4

A relaxed LaY2ThS4 crystal (PBE-GGA, Alexandria via LeMat-Bulk).

The structure in extended XYZ format:
```
8
Lattice="6.8895 0.0000 0.0000 0.0000 3.9614 0.0000 -2.2885 0.0000 6.6613" Properties=species:S:1:pos:R:3 pbc="T T T"
La 0.0000 0.0000 0.0000
Y -1.1442 1.9807 3.3306
Y 2.3005 0.0000 3.3306
Th 3.4448 1.9807 0.0000
S 0.0286 0.0000 4.8944
S 1.1723 1.9807 1.7816
S 3.4287 1.9807 4.8797
S 4.5725 0.0000 1.7669
```

## Properties
formation energy from raw total energies = -15.945 eV per formula unit

---

Record 3
# TcSn2Mo

A relaxed TcSn2Mo crystal (PBE-GGA, Alexandria via LeMat-Bulk).

The structure in extended XYZ format:
```
8
Lattice="-3.7634 3.7634 2.8632 3.7634 -3.7634 2.8632 3.7634 3.7634 -2.8632" Properties=species:S:1:pos:R:3 pbc="T T T"
Tc 0.0000 0.0000 0.0000
Tc 0.0000 3.7634 1.4316
Sn 5.6452 1.7996 -0.7158
Sn 1.7996 1.8817 0.7158
Sn -1.8817 1.9638 2.1474
Sn 1.9638 1.8817 3.5790
Mo 3.7634 0.0000 1.4316
Mo 0.0000 0.0000 2.8632
```

## Properties
DFT formation energy = 81 kJ/mol of atoms
excess energy over the best structure of this formula in the dataset = 852 meV/atom

---

Record 4
# AlHgSbTe2

A relaxed AlHgSbTe2 crystal (PBE-GGA, Alexandria via LeMat-Bulk).

The structure in extended XYZ format:
```
5
Lattice="5.3986 0.0000 0.0000 0.0000 5.3986 0.0000 0.0000 0.0000 5.3699" Properties=species:S:1:pos:R:3 pbc="T T T"
Al 0.0000 0.0000 0.0000
Hg 2.6993 2.6993 2.6849
Sb 0.0000 0.0000 2.6849
Te 0.0000 2.6993 0.0000
Te 2.6993 0.0000 0.0000
```

## Properties
formation energy from raw total energies = 1.583 eV per formula unit
excess energy over the best structure of this formula in the dataset = 0 meV/atom

---

Record 5
# Cs2SeF

A relaxed Cs2SeF crystal (PBE-GGA, Alexandria via LeMat-Bulk).

The structure in extended XYZ format:
```
8
Lattice="-4.2342 4.2342 4.7452 4.2342 -4.2342 4.7452 4.2342 4.2342 -4.7452" Properties=species:S:1:pos:R:3 pbc="T T T"
Cs 2.1171 1.4623 -1.1863
Cs 2.7718 -2.1171 5.9315
Cs 2.1171 2.7718 3.5589
Cs 1.4623 6.3512 1.1863
Se 4.2342 0.0000 2.3726
Se 0.0000 0.0000 4.7452
F 0.0000 0.0000 0.0000
F 0.0000 4.2342 2.3726
```

## Properties
formation energy from raw total energies = -6.095 eV per formula unit
excess energy over the best structure of this formula in the dataset = 0 meV/atom

---

Record 6
# YReSb

A relaxed YReSb crystal (PBE-GGA, Alexandria via LeMat-Bulk).

The structure in extended XYZ format:
```
3
Lattice="3.4871 0.0000 0.0000 -1.7436 3.0199 0.0000 0.0000 0.0000 6.5676" Properties=species:S:1:pos:R:3 pbc="T T T"
Y 0.0000 0.0000 0.0000
Re 1.7436 1.0066 2.1565
Sb 0.0000 2.0133 3.9635
```

## Properties
formation energy from raw total energies = 0.716 eV per formula unit
excess energy over the best structure of this formula in the dataset = 283 meV/atom

---

- What is the formula in the third record?
  TcSn2Mo